## LiAcMgSi2 (GGA-PBE)

Data for an optimized crystal structure of LiAcMgSi2.

The structure in CIF format:
```
data_LiAcMgSi2
_chemical_formula_sum 'Li2 Ac2 Mg2 Si4'
_cell_length_a 4.430
_cell_length_b 4.430
_cell_length_c 11.170
_cell_angle_alpha 90.00
_cell_angle_beta 90.00
_cell_angle_gamma 90.00
_space_group_name_H-M_alt 'I -4 m 2'
_space_group_IT_number 119
_space_group_name_Hall 'I -4 -2'
loop_
_atom_site_label
_atom_site_type_symbol
_atom_site_fract_x
_atom_site_fract_y
_atom_site_fract_z
Li1 Li 0.000 0.000 0.000
Ac1 Ac 0.000 0.500 0.250
Mg1 Mg 0.000 0.000 0.500
Si1 Si 0.000 0.500 0.642
```

Results
- Energy relative to the elements, uncorrected: -0.44 eV per atom